{"formula": "Ba2HgPtPb", "functional": "PBE", "state": "optimized geometry", "lattice_angstrom": [[-2.6550, 5.3129, -1.2927], [-1.5372, 0.6538, 5.8444], [4.5502, 2.4971, 0.9175]], "species": ["Pt", "Hg", "Ba", "Pb", "Ba"], "frac_coords": [[0.0000, 0.0000, 0.0000], [0.0000, 0.0000, 0.5000], [0.5000, 0.0000, 0.0000], [0.5000, 0.5000, 0.5000], [0.0000, 0.5000, 0.0000]], "final_energy_ev_per_cell": -16.09, "delta_e_f_ev_per_atom": -0.440, "polymorph_energy_ev_per_atom": 0.149}